First-principles (PBE-GGA) data for a relaxed structure of Tb3Nd4Tm2, as listed in the Alexandria database.

Properties
Formation enthalpy at 0 K   48 kJ/mol of formula units

a = 17.071 Å, b = 9.795 Å, c = 7.082 Å
α = 90.00°, β = 90.03°, γ = 90.00°
Space group C2/c (No. 15)
One atom of each set of equivalent atoms:
Tb 0.000 0.000 0.250 x4
Tb 0.172 0.500 0.250 x8
Nd 0.010 0.335 0.000 x8
Nd 0.162 0.181 0.500 x8
Tm 0.171 0.154 0.000 x8